An optimized crystal structure of GaNi7Te2H2. Source: Alexandria via LeMat-Bulk, functional PBE-GGA.

Cell: 3.744 3.744 10.363 Å, 79.60 79.60 90.03°
Fractional coordinates of all 12 atoms:
Ga1 0.000 0.000 0.000
Ni1 0.500 0.500 0.000
Ni2 0.324 0.324 0.355
Ni3 0.676 0.676 0.645
Ni4 0.913 0.413 0.175
Ni5 0.413 0.913 0.175
Ni6 0.587 0.087 0.825
Ni7 0.087 0.587 0.825
Te1 0.811 0.811 0.379
Te2 0.189 0.189 0.621
H1 0.587 0.587 0.827
H2 0.413 0.413 0.173

The density of states at the Fermi level comes out at 6.43 states/eV per cell. The calculated total energy comes out at -4.87 eV per atom.

An optimized crystal structure of Sm2ErTl3S6. Source: Alexandria via LeMat-Bulk, functional PBE-GGA.

Cell: 7.072 7.072 7.874 Å, 98.61 98.61 119.99°
Fractional coordinates of all 12 atoms:
Sm1 0.333 0.667 0.000
Sm2 0.667 0.333 0.000
Er1 0.000 0.000 0.000
Tl1 0.167 0.833 0.500
Tl2 0.833 0.167 0.500
Tl3 0.500 0.500 0.500
S1 0.933 0.608 0.801
S2 0.741 0.741 0.201
S3 0.067 0.392 0.199
S4 0.608 0.933 0.801
S5 0.259 0.259 0.799
S6 0.392 0.067 0.199

For the energy relative to the elements, uncorrected, the calculation gives -17.7 eV/f.u. The density of states at the Fermi level comes out at 0.00 states/eV per cell.

An optimized crystal structure of HgSb. Source: Alexandria via LeMat-Bulk, functional PBE-GGA.

Cell: 11.342 11.342 3.803 Å, 90.00 90.00 90.00°
Fractional coordinates of all 16 atoms:
Hg1 0.651 0.379 0.500
Hg2 0.349 0.621 0.500
Hg3 0.621 0.651 0.500
Hg4 0.379 0.349 0.500
Hg5 0.872 0.862 0.000
Hg6 0.128 0.138 0.000
Hg7 0.138 0.872 0.000
Hg8 0.862 0.128 0.000
Sb1 0.904 0.644 0.500
Sb2 0.096 0.356 0.500
Sb3 0.356 0.904 0.500
Sb4 0.644 0.096 0.500
Sb5 0.897 0.396 0.000
Sb6 0.103 0.604 0.000
Sb7 0.604 0.897 0.000
Sb8 0.396 0.103 0.000

For the energy relative to the elements, uncorrected, the calculation gives 0.3 eV/f.u. The density of states at the Fermi level comes out at 5.77 states/eV per cell. As for the polymorph energy (0 for the lowest one): 0.126 eV/atom.

An optimized crystal structure of TlPt2W. Source: Alexandria via LeMat-Bulk, functional PBE-GGA.

Cell: 4.634 4.634 4.634 Å, 60.00 60.00 60.00°
Fractional coordinates of all 4 atoms:
Tl1 0.500 0.500 0.500
W1 0.000 0.000 0.000
Pt1 0.250 0.250 0.250
Pt2 0.750 0.750 0.750

The formation energy comes out at 0.416 eV per atom. The density of states at the Fermi level comes out at 3.50 states/eV per cell. As for the polymorph energy (0 for the lowest one): 0.460 eV/atom.

An optimized crystal structure of Rb12Cd3H5. Source: Alexandria via LeMat-Bulk, functional PBE-GGA.

Cell: 16.880 16.880 16.880 Å, 109.47 109.47 109.47°
Fractional coordinates of all 80 atoms:
Cd1 0.750 0.375 0.125
Cd2 0.875 0.750 0.125
Cd3 0.375 0.750 0.625
Cd4 0.250 0.125 0.375
Cd5 0.875 0.125 0.250
Cd6 0.375 0.625 0.250
Cd7 0.625 0.375 0.750
Cd8 0.125 0.875 0.750
Cd9 0.750 0.875 0.625
Cd10 0.625 0.250 0.375
Cd11 0.125 0.250 0.875
Cd12 0.250 0.625 0.875
H1 0.125 0.375 0.250
H2 0.000 0.500 0.000
H3 0.000 0.000 0.000
H4 0.375 0.250 0.125
H5 0.500 0.000 0.500
H6 0.500 0.500 0.000
H7 0.125 0.750 0.375
H8 0.750 0.125 0.875
H9 0.750 0.625 0.375
H10 0.375 0.125 0.750
H11 0.625 0.875 0.250
H12 0.500 0.500 0.500
H13 0.500 0.000 0.000
H14 0.000 0.000 0.500
H15 0.250 0.375 0.625
H16 0.250 0.875 0.125
H17 0.000 0.500 0.500
H18 0.875 0.250 0.625
H19 0.625 0.750 0.875
H20 0.875 0.625 0.750
Rb1 0.697 0.115 0.014
Rb2 0.317 0.514 0.399
Rb3 0.986 0.385 0.303
Rb4 0.514 0.197 0.115
Rb5 0.582 0.697 0.683
Rb6 0.986 0.601 0.183
Rb7 0.317 0.803 0.418
Rb8 0.101 0.918 0.115
Rb9 0.601 0.986 0.683
Rb10 0.697 0.582 0.183
Rb11 0.803 0.486 0.385
Rb12 0.817 0.899 0.014
Rb13 0.115 0.697 0.514
Rb14 0.385 0.399 0.082
Rb15 0.082 0.899 0.385
Rb16 0.418 0.115 0.601
Rb17 0.082 0.183 0.197
Rb18 0.486 0.683 0.101
Rb19 0.817 0.918 0.303
Rb20 0.115 0.418 0.101
Rb21 0.385 0.986 0.803
Rb22 0.601 0.615 0.418
Rb23 0.899 0.817 0.514
Rb24 0.803 0.317 0.918
Rb25 0.399 0.385 0.582
Rb26 0.101 0.183 0.486
Rb27 0.197 0.683 0.082
Rb28 0.183 0.082 0.697
Rb29 0.615 0.014 0.197
Rb30 0.885 0.582 0.899
Rb31 0.514 0.317 0.899
Rb32 0.582 0.885 0.399
Rb33 0.918 0.817 0.803
Rb34 0.918 0.101 0.615
Rb35 0.885 0.303 0.486
Rb36 0.183 0.101 0.986
Rb37 0.615 0.601 0.918
Rb38 0.399 0.014 0.317
Rb39 0.303 0.418 0.817
Rb40 0.197 0.514 0.615
Rb41 0.899 0.082 0.885
Rb42 0.683 0.197 0.582
Rb43 0.486 0.803 0.885
Rb44 0.014 0.399 0.817
Rb45 0.418 0.303 0.317
Rb46 0.014 0.615 0.697
Rb47 0.683 0.486 0.601
Rb48 0.303 0.885 0.986

The density of states at the Fermi level comes out at 63.94 states/eV per cell. The calculated total energy comes out at -1.53 eV per atom.

An optimized crystal structure of AcPbC2O6. Source: Alexandria via LeMat-Bulk, functional PBE-GGA.

Cell: 6.901 6.901 7.249 Å, 108.21 108.21 84.47°
Fractional coordinates of all 20 atoms:
Ac1 0.607 0.393 0.250
Ac2 0.393 0.607 0.750
Pb1 0.048 0.952 0.250
Pb2 0.952 0.048 0.750
C1 0.409 0.143 0.717
C2 0.857 0.591 0.783
C3 0.591 0.857 0.283
C4 0.143 0.409 0.217
O1 0.970 0.375 0.234
O2 0.625 0.030 0.266
O3 0.030 0.625 0.766
O4 0.375 0.970 0.734
O5 0.199 0.322 0.056
O6 0.678 0.801 0.444
O7 0.801 0.678 0.944
O8 0.322 0.199 0.556
O9 0.277 0.534 0.370
O10 0.466 0.723 0.130
O11 0.723 0.466 0.630
O12 0.534 0.277 0.870

For the energy relative to the elements, uncorrected, the calculation gives -18.2 eV/f.u. The density of states at the Fermi level comes out at 3.19 states/eV per cell.